The following is a DFT calculation (PBE) of NiPb2WCl after structural relaxation.

```
NiPb2WCl
1.0
5.536 0.000 0.000
0.000 5.536 0.000
0.000 0.000 4.352
Ni Pb W Cl
1 2 1 1
direct
0.000 0.000 0.000 Ni
0.000 0.500 0.500 Pb
0.500 0.000 0.500 Pb
0.500 0.500 0.000 W
0.500 0.500 0.500 Cl
```

Computed properties:
Formation energy from raw total energies (meV per atom): 1458
Spin magnetization (μB/atom): 0.287
V (Å³ per atom): 26.7

The following is a DFT calculation (PBE) of AgMo2Ru2 after structural relaxation.

```
AgMo2Ru2
1.0
7.539 0.000 0.000
0.000 7.539 0.000
0.000 0.000 2.831
Ag Mo Ru
2 4 4
direct
0.000 0.000 0.000 Ag
0.500 0.500 0.000 Ag
0.160 0.340 0.500 Mo
0.340 0.840 0.500 Mo
0.660 0.160 0.500 Mo
0.840 0.660 0.500 Mo
0.135 0.635 0.000 Ru
0.365 0.135 0.000 Ru
0.635 0.865 0.000 Ru
0.865 0.365 0.000 Ru
```

Computed properties:
E_form (meV per atom): 224.2
Excess energy over the best structure of this formula in the dataset (kJ per mole of atoms): 0.00
Spin magnetization (μB/atom): 0.000
V (Å³ per atom): 16.1

The following is a DFT calculation (PBE) of CeSc5 after structural relaxation.

```
CeSc5
1.0
2.626 -7.910 0.000
2.626 7.910 0.000
0.000 0.000 3.667
Ce Sc
1 5
direct
0.000 0.000 0.000 Ce
0.175 0.825 0.500 Sc
0.337 0.663 0.000 Sc
0.500 0.500 0.500 Sc
0.663 0.337 0.000 Sc
0.825 0.175 0.500 Sc
```

Computed properties:
E_form (meV per atom): 100.4
Excess energy over the best structure of this formula in the dataset (kJ per mole of atoms): 5.61
Spin magnetization (μB/atom): 0.021
V (Å³ per atom): 25.4

The following is a DFT calculation (PBE) of Hf12Pd6N after structural relaxation.

```
Hf12Pd6N
1.0
5.320 3.072 3.909
-5.320 3.072 3.909
0.000 -6.143 3.909
Hf Pd N
12 6 1
direct
0.046 0.921 0.706 Hf
0.079 0.294 0.954 Hf
0.202 0.413 0.540 Hf
0.294 0.954 0.079 Hf
0.413 0.540 0.202 Hf
0.460 0.798 0.587 Hf
0.540 0.202 0.413 Hf
0.587 0.460 0.798 Hf
0.706 0.046 0.921 Hf
0.798 0.587 0.460 Hf
0.921 0.706 0.046 Hf
0.954 0.079 0.294 Hf
0.133 0.749 0.379 Pd
0.251 0.621 0.867 Pd
0.379 0.133 0.749 Pd
0.621 0.867 0.251 Pd
0.749 0.379 0.133 Pd
0.867 0.251 0.621 Pd
0.000 0.000 0.000 N
```

Computed properties:
Formation energy from raw total energies (meV per atom): -380
Spin magnetization (μB/atom): 0.000
V (Å³ per atom): 20.2

The following is a DFT calculation (PBE) of CeSm5Bi6 after structural relaxation.

```
CeSm5Bi6
1.0
3.952 -6.848 0.000
3.952 6.848 0.000
-2.638 0.000 7.457
Ce Sm Bi
1 5 6
direct
0.000 0.000 0.000 Ce
0.167 0.833 0.500 Sm
0.333 0.667 0.000 Sm
0.500 0.500 0.500 Sm
0.667 0.333 0.000 Sm
0.833 0.167 0.500 Sm
0.083 0.416 0.250 Bi
0.250 0.250 0.750 Bi
0.416 0.083 0.250 Bi
0.584 0.917 0.750 Bi
0.750 0.750 0.250 Bi
0.917 0.584 0.750 Bi
```

Computed properties:
E_form (meV per atom): -907.2
Spin magnetization (μB/atom): 0.060
V (Å³ per atom): 33.6